A plane-wave DFT calculation with GGA-PBE was carried out for an optimized crystal structure of SmBH8SO10.

Lattice parameters (Å, degrees): 6.1007 9.1671 6.6555 90.00 93.22 90.00
Fractional positions:
1 B 0.8238 0.2500 0.2383
2 B 0.1762 0.7500 0.7617
3 H 0.2661 0.7500 0.0626
4 H 0.9159 0.0350 0.1889
5 H 0.9159 0.4650 0.1889
6 H 0.5306 0.5499 0.2218
7 H 0.5306 0.9501 0.2218
8 H 0.3732 0.5630 0.4032
9 H 0.3732 0.9370 0.4032
10 H 0.2239 0.7500 0.4635
11 H 0.7761 0.2500 0.5365
12 H 0.6268 0.0630 0.5968
13 H 0.6268 0.4370 0.5968
14 H 0.4694 0.0499 0.7782
15 H 0.4694 0.4501 0.7782
16 H 0.0841 0.5350 0.8111
17 H 0.0841 0.9650 0.8111
18 H 0.7339 0.2500 0.9374
19 O 0.6620 0.2500 0.0662
20 O 0.7585 0.6199 0.1115
21 O 0.7585 0.8801 0.1115
22 O 0.9778 0.1266 0.2433
23 O 0.9778 0.3734 0.2433
24 O 0.0763 0.7500 0.2584
25 O 0.4033 0.5047 0.2845
26 O 0.4033 0.9953 0.2845
27 O 0.6803 0.2500 0.4103
28 O 0.7299 0.7500 0.4257
29 O 0.2701 0.2500 0.5743
30 O 0.3197 0.7500 0.5897
31 O 0.5967 0.0047 0.7155
32 O 0.5967 0.4953 0.7155
33 O 0.9237 0.2500 0.7416
34 O 0.0222 0.6266 0.7567
35 O 0.0222 0.8734 0.7567
36 O 0.2415 0.1199 0.8885
37 O 0.2415 0.3801 0.8885
38 O 0.3380 0.7500 0.9338
39 S 0.8358 0.7500 0.2339
40 S 0.1642 0.2500 0.7661
41 Sm 0.3200 0.2500 0.2245
42 Sm 0.6800 0.7500 0.7755

As for the magnetization: 0.0 μB/cell. Its total energy is -5.980 eV/atom. As for the space group: No. 11.

A plane-wave DFT calculation with GGA-PBE was carried out for an optimized crystal structure of Cs2Ag2As2S5.

Lattice parameters (Å, degrees): 7.6662 9.4540 10.1335 63.03 82.22 88.10
Fractional positions:
1 Ag 0.2083 0.9161 0.0549
2 Ag 0.5927 0.2556 0.1218
3 Ag 0.4073 0.7444 0.8782
4 Ag 0.7917 0.0839 0.9451
5 As 0.0576 0.2914 0.0742
6 As 0.3065 0.5134 0.1845
7 As 0.6935 0.4866 0.8155
8 As 0.9424 0.7086 0.9258
9 Cs 0.7521 0.6491 0.3396
10 Cs 0.2615 0.9482 0.4314
11 Cs 0.7385 0.0518 0.5686
12 Cs 0.2479 0.3509 0.6604
13 S 0.3166 0.1754 0.0455
14 S 0.8649 0.0769 0.1842
15 S 0.0618 0.3301 0.2848
16 S 0.2309 0.6699 0.2949
17 S 0.5087 0.3554 0.3158
18 S 0.4913 0.6446 0.6842
19 S 0.7691 0.3301 0.7051
20 S 0.9382 0.6699 0.7152
21 S 0.1351 0.9231 0.8158
22 S 0.6834 0.8246 0.9545

Its total energy is -3.922 eV/atom. As for the space group: No. 2.

A plane-wave DFT calculation with GGA-PBE was carried out for an optimized crystal structure of TaCdMo.

Lattice parameters (Å, degrees): 4.4996 4.4996 4.4996 60.00 60.00 60.00
Fractional positions:
1 Cd 0.2500 0.2500 0.2500
2 Mo 0.0000 0.0000 0.0000
3 Ta 0.7500 0.7500 0.7500

The value obtained for the formation energy from the elements is 1.084 eV per atom. As for the magnetization: 0.7 μB/cell. Its total energy is -6.781 eV/atom. The energy above the most stable polymorph in this dataset is 0.00 eV per formula unit. As for the space group: No. 216.

A plane-wave DFT calculation with GGA-PBE was carried out for an optimized crystal structure of YHfBeIr.

Lattice parameters (Å, degrees): 4.7084 4.7084 4.7084 60.00 60.00 60.00
Fractional positions:
1 Be 0.7500 0.7500 0.7500
2 Hf 0.0000 0.0000 0.0000
3 Ir 0.2500 0.2500 0.2500
4 Y 0.5000 0.5000 0.5000

As for the magnetization: 0.0 μB/cell. Its total energy is -7.606 eV/atom. The energy above the most stable polymorph in this dataset is 0.00 eV per formula unit. As for the space group: No. 216.

A plane-wave DFT calculation with GGA-PBE was carried out for an optimized crystal structure of TmThPa.

Lattice parameters (Å, degrees): 5.2333 5.2333 5.2333 60.00 60.00 60.00
Fractional positions:
1 Pa 0.0000 0.0000 0.0000
2 Th 0.2500 0.2500 0.2500
3 Tm 0.7500 0.7500 0.7500

The value obtained for the formation energy from the elements is 1.011 eV per atom. As for the magnetization: 0.1 μB/cell. Its total energy is -6.117 eV/atom. The energy above the most stable polymorph in this dataset is 0.00 eV per formula unit. As for the space group: No. 216.

A plane-wave DFT calculation with GGA-PBE was carried out for an optimized crystal structure of NbFeSb.

Lattice parameters (Å, degrees): 4.7360 4.7360 5.5219 90.00 90.00 120.00
Each line ends with the local moment (μB).
Fractional positions:
1 Fe 0.0000 0.0000 0.0000  2.69
2 Fe 0.0000 0.0000 0.5000  2.68
3 Nb 0.6667 0.3333 0.2500  -0.13
4 Nb 0.3333 0.6667 0.7500  -0.13
5 Sb 0.3333 0.6667 0.2500  0.03
6 Sb 0.6667 0.3333 0.7500  0.03

As for the magnetization: 5.1 μB/cell. Its total energy is -7.233 eV/atom. As for the space group: No. 194.

A plane-wave DFT calculation with GGA-PBE was carried out for an optimized crystal structure of NaNiAuSeS2.

Lattice parameters (Å, degrees): 7.5903 7.5903 9.8271 90.00 90.00 154.51
Fractional positions:
1 Au 0.8765 0.1235 0.2500
2 Au 0.1235 0.8765 0.7500
3 Na 0.2131 0.7869 0.2500
4 Na 0.7869 0.2131 0.7500
5 Ni 0.5000 0.5000 0.0000
6 Ni 0.5000 0.5000 0.5000
7 S 0.8955 0.1045 0.0152
8 S 0.8955 0.1045 0.4848
9 S 0.1045 0.8955 0.5152
10 S 0.1045 0.8955 0.9848
11 Se 0.5517 0.4483 0.2500
12 Se 0.4483 0.5517 0.7500

As for the magnetization: 0.0 μB/cell. Its total energy is -3.937 eV/atom. As for the space group: No. 63.

A plane-wave DFT calculation with GGA-PBE was carried out for an optimized crystal structure of LiZnGa.

Lattice parameters (Å, degrees): 4.3690 4.3690 2.8759 90.00 90.00 120.00
Fractional positions:
1 Ga 0.0000 0.0000 0.8346
2 Li 0.6667 0.3333 0.3325
3 Zn 0.3333 0.6667 0.8329

Its total energy is -2.300 eV/atom. The energy above the most stable polymorph in this dataset is 0.00 eV per formula unit. As for the space group: No. 156.

A plane-wave DFT calculation with GGA-PBE was carried out for an optimized crystal structure of MgNiHgB.

Lattice parameters (Å, degrees): 4.3263 4.3263 4.3263 60.00 60.00 60.00
Fractional positions:
1 B 0.0000 0.0000 0.0000
2 Hg 0.5000 0.5000 0.5000
3 Mg 0.2500 0.2500 0.2500
4 Ni 0.7500 0.7500 0.7500

As for the magnetization: 0.0 μB/cell. Its total energy is -2.915 eV/atom. The energy above the most stable polymorph in this dataset is 0.00 eV per formula unit. As for the space group: No. 216.

A plane-wave DFT calculation with GGA-PBE was carried out for an optimized crystal structure of BaThCd.

Lattice parameters (Å, degrees): 5.5005 5.5005 5.5005 60.00 60.00 60.00
Fractional positions:
1 Ba 0.2500 0.2500 0.2500
2 Cd 0.0000 0.0000 0.0000
3 Th 0.7500 0.7500 0.7500

As for the magnetization: 0.0 μB/cell. Its total energy is -2.952 eV/atom. The energy above the most stable polymorph in this dataset is 0.00 eV per formula unit. As for the space group: No. 216.

A plane-wave DFT calculation with GGA-PBE was carried out for an optimized crystal structure of MgAlNiMo.

Lattice parameters (Å, degrees): 4.3613 4.3613 4.3613 60.00 60.00 60.00
Fractional positions:
1 Al 0.0000 0.0000 0.0000
2 Mg 0.5000 0.5000 0.5000
3 Mo 0.2500 0.2500 0.2500
4 Ni 0.7500 0.7500 0.7500

As for the magnetization: 1.6 μB/cell. Its total energy is -5.326 eV/atom. The energy above the most stable polymorph in this dataset is 0.00 eV per formula unit. As for the space group: No. 216.

A plane-wave DFT calculation with GGA-PBE was carried out for an optimized crystal structure of SmErBe2Si2.

Lattice parameters (Å, degrees): 3.8888 3.8888 8.1340 90.00 90.00 120.00
Fractional positions:
1 Be 0.6667 0.3333 0.2570
2 Be 0.3333 0.6667 0.7430
3 Er 0.0000 0.0000 0.5000
4 Si 0.3333 0.6667 0.2581
5 Si 0.6667 0.3333 0.7419
6 Sm 0.0000 0.0000 0.0000

As for the magnetization: 0.0 μB/cell. Its total energy is -5.239 eV/atom. As for the space group: No. 164.